LiPrTeSe: relaxed, PBE-GGA.

Cell: 4.779 4.779 9.698 Å, 90.00 90.00 90.00°
Fractional coordinates of all 8 atoms:
Li 0.500 0.500 0.000
Li 0.000 0.000 0.000
Pr 0.500 0.000 0.671
Pr 0.000 0.500 0.329
Te 0.000 0.500 0.843
Te 0.500 0.000 0.157
Se 0.000 0.000 0.500
Se 0.500 0.500 0.500

ρ = 5314 kg/m3
Raw formation energy = -1.331 eV per atom